## SrGe (GGA-PBE)

Data for a relaxed structure of SrGe.

CIF file:
```
data_SrGe
_cell_length_a 11.2561
_cell_length_b 11.2561
_cell_length_c 4.0892
_cell_angle_alpha 90.00
_cell_angle_beta 90.00
_cell_angle_gamma 90.00
_space_group_name_H-M_alt 'P 1'
_space_group_IT_number 1
_space_group_name_Hall 'P 1'
loop_
_atom_site_label
_atom_site_fract_x
_atom_site_fract_y
_atom_site_fract_z
_atom_site_occupancy
Sr1 0.7116 0.4343 0.5000 1
Sr2 0.2884 0.5657 0.5000 1
Sr3 0.5657 0.7116 0.5000 1
Sr4 0.4343 0.2884 0.5000 1
Sr5 0.0876 0.7726 0.0000 1
Sr6 0.9124 0.2274 0.0000 1
Sr7 0.2274 0.0876 0.0000 1
Sr8 0.7726 0.9124 0.0000 1
Ge1 0.8633 0.6927 0.5000 1
Ge2 0.1367 0.3073 0.5000 1
Ge3 0.3073 0.8633 0.5000 1
Ge4 0.6927 0.1367 0.5000 1
Ge5 0.8916 0.5486 0.0000 1
Ge6 0.1084 0.4514 0.0000 1
Ge7 0.4514 0.8916 0.0000 1
Ge8 0.5486 0.1084 0.0000 1
```

Values from the calculation:
Calculated formation energy: -0.29 eV per atom
SG: P4/m
E_tot: -3.4365 eV/atom

***

## Sr5Ge2 (GGA-PBE)

Data for a relaxed structure of Sr5Ge2.

CIF file:
```
data_Sr5Ge2
_cell_length_a 7.4052
_cell_length_b 8.1282
_cell_length_c 10.0002
_cell_angle_alpha 113.98
_cell_angle_beta 111.73
_cell_angle_gamma 90.00
_space_group_name_H-M_alt 'P 1'
_space_group_IT_number 1
_space_group_name_Hall 'P 1'
loop_
_atom_site_label
_atom_site_fract_x
_atom_site_fract_y
_atom_site_fract_z
_atom_site_occupancy
Sr1 0.0815 0.2221 0.1629 1
Sr2 0.9185 0.7779 0.8371 1
Sr3 0.5815 0.9408 0.1629 1
Sr4 0.4185 0.0592 0.8371 1
Sr5 0.4790 0.7290 0.4580 1
Sr6 0.0210 0.2710 0.5420 1
Sr7 0.5210 0.2710 0.5420 1
Sr8 0.9790 0.7290 0.4580 1
Sr9 0.7500 0.5000 0.0000 1
Sr10 0.2500 0.5000 0.0000 1
Ge1 0.3817 0.6348 0.7634 1
Ge2 0.6183 0.3652 0.2366 1
Ge3 0.8817 0.1286 0.7634 1
Ge4 0.1183 0.8714 0.2366 1
```

Values from the calculation:
Calculated formation energy: -0.32 eV per atom
SG: Ibam
Distance to the lowest polymorph of the same formula: 106.1 meV/atom
E_tot: -2.8421 eV/atom

***

## Sr5Ge4 (GGA-PBE)

Data for a relaxed structure of Sr5Ge4.

CIF file:
```
data_Sr5Ge4
_cell_length_a 4.8661
_cell_length_b 6.2583
_cell_length_c 10.4006
_cell_angle_alpha 74.98
_cell_angle_beta 76.47
_cell_angle_gamma 67.12
_space_group_name_H-M_alt 'P 1'
_space_group_IT_number 1
_space_group_name_Hall 'P 1'
loop_
_atom_site_label
_atom_site_fract_x
_atom_site_fract_y
_atom_site_fract_z
_atom_site_occupancy
Sr1 0.1017 0.1923 0.6042 1
Sr2 0.8983 0.8077 0.3958 1
Sr3 0.7601 0.6587 0.8210 1
Sr4 0.2399 0.3413 0.1790 1
Sr5 0.0000 0.0000 0.0000 1
Ge1 0.4538 0.2671 0.8254 1
Ge2 0.5462 0.7329 0.1746 1
Ge3 0.3937 0.6047 0.6079 1
Ge4 0.6063 0.3953 0.3921 1
```

Values from the calculation:
Calculated formation energy: -0.57 eV per atom
SG: C2/m
E_tot: -3.5577 eV/atom

***

## SrGe (GGA-PBE)

Data for a relaxed structure of SrGe.

CIF file:
```
data_SrGe
_cell_length_a 19.5960
_cell_length_b 4.1040
_cell_length_c 4.7921
_cell_angle_alpha 90.00
_cell_angle_beta 90.00
_cell_angle_gamma 90.00
_space_group_name_H-M_alt 'P 1'
_space_group_IT_number 1
_space_group_name_Hall 'P 1'
loop_
_atom_site_label
_atom_site_fract_x
_atom_site_fract_y
_atom_site_fract_z
_atom_site_occupancy
Sr1 0.8397 0.0000 0.5000 1
Sr2 0.1603 0.0000 0.5000 1
Sr3 0.3397 0.5000 0.5000 1
Sr4 0.6603 0.5000 0.5000 1
Sr5 0.5000 0.0000 0.0000 1
Sr6 0.0000 0.5000 0.0000 1
Ge1 0.7098 0.0000 0.0000 1
Ge2 0.2902 0.0000 0.0000 1
Ge3 0.2098 0.5000 0.0000 1
Ge4 0.7902 0.5000 0.0000 1
Ge5 0.0000 0.0000 0.5000 1
Ge6 0.5000 0.5000 0.5000 1
```

Values from the calculation:
Calculated formation energy: -0.51 eV per atom
SG: Cmmm
E_tot: -3.6632 eV/atom

***

## SrGe (GGA-PBE)

Data for a relaxed structure of SrGe.

CIF file:
```
data_SrGe
_cell_length_a 11.7032
_cell_length_b 11.7032
_cell_length_c 4.0914
_cell_angle_alpha 90.00
_cell_angle_beta 90.00
_cell_angle_gamma 90.00
_space_group_name_H-M_alt 'P 1'
_space_group_IT_number 1
_space_group_name_Hall 'P 1'
loop_
_atom_site_label
_atom_site_fract_x
_atom_site_fract_y
_atom_site_fract_z
_atom_site_occupancy
Sr1 0.7718 0.5000 0.0000 1
Sr2 0.2282 0.5000 0.0000 1
Sr3 0.5000 0.2282 0.0000 1
Sr4 0.5000 0.7718 0.0000 1
Sr5 0.2718 0.0000 0.5000 1
Sr6 0.7282 0.0000 0.5000 1
Sr7 0.0000 0.7282 0.5000 1
Sr8 0.0000 0.2718 0.5000 1
Ge1 0.2024 0.2024 0.0000 1
Ge2 0.2024 0.7976 0.0000 1
Ge3 0.7976 0.2024 0.0000 1
Ge4 0.7976 0.7976 0.0000 1
Ge5 0.7024 0.7024 0.5000 1
Ge6 0.7024 0.2976 0.5000 1
Ge7 0.2976 0.7024 0.5000 1
Ge8 0.2976 0.2976 0.5000 1
```

Values from the calculation:
Calculated formation energy: -0.45 eV per atom
SG: I4/mmm
E_tot: -3.6046 eV/atom

***

## SrGe3 (GGA-PBE)

Data for a relaxed structure of SrGe3.

CIF file:
```
data_SrGe3
_cell_length_a 4.0000
_cell_length_b 4.0455
_cell_length_c 12.3137
_cell_angle_alpha 99.31
_cell_angle_beta 90.00
_cell_angle_gamma 90.00
_space_group_name_H-M_alt 'P 1'
_space_group_IT_number 1
_space_group_name_Hall 'P 1'
loop_
_atom_site_label
_atom_site_fract_x
_atom_site_fract_y
_atom_site_fract_z
_atom_site_occupancy
Sr1 0.2500 0.5906 0.1801 1
Sr2 0.7500 0.4094 0.8199 1
Ge1 0.2500 0.1961 0.3953 1
Ge2 0.7500 0.8039 0.6047 1
Ge3 0.7500 0.0351 0.0602 1
Ge4 0.2500 0.9649 0.9398 1
Ge5 0.7500 0.6978 0.3982 1
Ge6 0.2500 0.3022 0.6018 1
```

Values from the calculation:
Calculated formation energy: -0.23 eV per atom
SG: P2_1/m
E_tot: -4.1180 eV/atom

***

## SrGe (GGA-PBE)

Data for a relaxed structure of SrGe.

CIF file:
```
data_SrGe
_cell_length_a 4.8343
_cell_length_b 4.2237
_cell_length_c 6.2287
_cell_angle_alpha 90.00
_cell_angle_beta 112.83
_cell_angle_gamma 90.00
_space_group_name_H-M_alt 'P 1'
_space_group_IT_number 1
_space_group_name_Hall 'P 1'
loop_
_atom_site_label
_atom_site_fract_x
_atom_site_fract_y
_atom_site_fract_z
_atom_site_occupancy
Sr1 0.6368 0.2500 0.2741 1
Sr2 0.3632 0.7500 0.7259 1
Ge1 0.9297 0.2500 0.8588 1
Ge2 0.0703 0.7500 0.1412 1
```

Values from the calculation:
Calculated formation energy: -0.63 eV per atom
SG: Cmcm
E_tot: -3.7788 eV/atom

***

## SrGe (GGA-PBE)

Data for a relaxed structure of SrGe.

CIF file:
```
data_SrGe
_cell_length_a 9.3211
_cell_length_b 9.3211
_cell_length_c 9.3211
_cell_angle_alpha 90.00
_cell_angle_beta 90.00
_cell_angle_gamma 90.00
_space_group_name_H-M_alt 'P 1'
_space_group_IT_number 1
_space_group_name_Hall 'P 1'
loop_
_atom_site_label
_atom_site_fract_x
_atom_site_fract_y
_atom_site_fract_z
_atom_site_occupancy
Sr1 0.2908 0.2908 0.2908 1
Sr2 0.2908 0.7092 0.7092 1
Sr3 0.7092 0.2908 0.7092 1
Sr4 0.7092 0.7092 0.2908 1
Sr5 0.7908 0.7908 0.7908 1
Sr6 0.7908 0.2092 0.2092 1
Sr7 0.2092 0.7908 0.2092 1
Sr8 0.2092 0.2092 0.7908 1
Ge1 0.0985 0.0985 0.0985 1
Ge2 0.0985 0.9015 0.9015 1
Ge3 0.9015 0.0985 0.9015 1
Ge4 0.9015 0.9015 0.0985 1
Ge5 0.5985 0.5985 0.5985 1
Ge6 0.5985 0.4015 0.4015 1
Ge7 0.4015 0.5985 0.4015 1
Ge8 0.4015 0.4015 0.5985 1
```

Values from the calculation:
Calculated formation energy: -0.08 eV per atom
SG: I-43m
E_tot: -3.2271 eV/atom

***

## Sr5Ge2 (GGA-PBE)

Data for a relaxed structure of Sr5Ge2.

CIF file:
```
data_Sr5Ge2
_cell_length_a 7.4222
_cell_length_b 8.2117
_cell_length_c 9.6268
_cell_angle_alpha 95.58
_cell_angle_beta 112.67
_cell_angle_gamma 90.00
_space_group_name_H-M_alt 'P 1'
_space_group_IT_number 1
_space_group_name_Hall 'P 1'
loop_
_atom_site_label
_atom_site_fract_x
_atom_site_fract_y
_atom_site_fract_z
_atom_site_occupancy
Sr1 0.2126 0.4242 0.1803 1
Sr2 0.0323 0.0758 0.8197 1
Sr3 0.2199 0.6839 0.5605 1
Sr4 0.6594 0.8161 0.4395 1
Sr5 0.7801 0.3161 0.4395 1
Sr6 0.3406 0.1839 0.5605 1
Sr7 0.9677 0.9242 0.1803 1
Sr8 0.7874 0.5758 0.8197 1
Sr9 0.5613 0.2500 0.0000 1
Sr10 0.4387 0.7500 0.0000 1
Ge1 0.1720 0.4371 0.7883 1
Ge2 0.3836 0.0629 0.2117 1
Ge3 0.8280 0.5629 0.2117 1
Ge4 0.6163 0.9371 0.7883 1
```

Values from the calculation:
Calculated formation energy: -0.43 eV per atom
SG: C2/c
Distance to the lowest polymorph of the same formula: 0.0 meV/atom
E_tot: -2.9482 eV/atom

***

## SrGe (GGA-PBE)

Data for a relaxed structure of SrGe.

CIF file:
```
data_SrGe
_cell_length_a 8.9285
_cell_length_b 8.9285
_cell_length_c 8.9285
_cell_angle_alpha 90.00
_cell_angle_beta 90.00
_cell_angle_gamma 90.00
_space_group_name_H-M_alt 'P 1'
_space_group_IT_number 1
_space_group_name_Hall 'P 1'
loop_
_atom_site_label
_atom_site_fract_x
_atom_site_fract_y
_atom_site_fract_z
_atom_site_occupancy
Sr1 0.2500 0.5000 0.0000 1
Sr2 0.7500 0.5000 0.0000 1
Sr3 0.5000 0.0000 0.2500 1
Sr4 0.5000 0.0000 0.7500 1
Sr5 0.0000 0.2500 0.5000 1
Sr6 0.0000 0.7500 0.5000 1
Ge1 0.2500 0.0000 0.5000 1
Ge2 0.7500 0.0000 0.5000 1
Ge3 0.0000 0.5000 0.2500 1
Ge4 0.0000 0.5000 0.7500 1
Ge5 0.5000 0.2500 0.0000 1
Ge6 0.5000 0.7500 0.0000 1
```

Values from the calculation:
Calculated formation energy: 0.39 eV per atom
SG: Pm-3n
E_tot: -2.7618 eV/atom